1.
# Ni2Bi8S, relaxed, DFT PBE
data_Ni2Bi8S
_cell_length_a 11.1783
_cell_length_b 11.1783
_cell_length_c 9.6693
_cell_angle_alpha 90.00
_cell_angle_beta 90.00
_cell_angle_gamma 90.00
_space_group_name_H-M_alt 'P 42/m n m'
_space_group_IT_number 136
_space_group_name_Hall '-P 4n 2n'
loop_
_atom_site_label
_atom_site_fract_x
_atom_site_fract_y
_atom_site_fract_z
Ni1 0.2140 0.2140 0.2314
Bi1 0.0000 0.0000 0.2913
Bi2 0.0575 0.6965 0.1795
Bi3 0.1145 0.1145 0.0000
Bi4 0.1679 0.1679 0.5000
Bi5 0.1814 0.8186 0.5000
S1 0.0000 0.5000 0.0000
# VASP energy, eV/atom: -4.20

2.
# NiBi3S, relaxed, DFT PBE
data_NiBi3S
_cell_length_a 5.3048
_cell_length_b 5.3048
_cell_length_c 5.3048
_cell_angle_alpha 90.00
_cell_angle_beta 90.00
_cell_angle_gamma 90.00
_space_group_name_H-M_alt 'P m -3 m'
_space_group_IT_number 221
_space_group_name_Hall '-P 4 2 3'
loop_
_atom_site_label
_atom_site_fract_x
_atom_site_fract_y
_atom_site_fract_z
Ni1 0.0000 0.0000 0.0000
Bi1 0.0000 0.5000 0.5000
S1 0.5000 0.5000 0.5000
# VASP energy, eV/atom: -3.52

3.
# Ni9BiTeS8, relaxed, DFT PBE
data_Ni9BiTeS8
_cell_length_a 7.3123
_cell_length_b 7.3123
_cell_length_c 5.3806
_cell_angle_alpha 90.00
_cell_angle_beta 90.00
_cell_angle_gamma 90.00
_space_group_name_H-M_alt 'P 4/m m m'
_space_group_IT_number 123
_space_group_name_Hall '-P 4 2'
loop_
_atom_site_label
_atom_site_fract_x
_atom_site_fract_y
_atom_site_fract_z
Ni1 0.0000 0.0000 0.0000
Ni2 0.1804 0.5000 0.2498
Bi1 0.0000 0.0000 0.5000
Te1 0.5000 0.5000 0.0000
S1 0.0000 0.3148 0.0000
S2 0.2710 0.2710 0.5000
# VASP energy, eV/atom: -5.09

4.
# NiBiSb, relaxed, DFT PBE
data_NiBiSb
_cell_length_a 6.5378
_cell_length_b 6.5378
_cell_length_c 6.5378
_cell_angle_alpha 90.00
_cell_angle_beta 90.00
_cell_angle_gamma 90.00
_space_group_name_H-M_alt 'F -4 3 m'
_space_group_IT_number 216
_space_group_name_Hall 'F -4 2 3'
loop_
_atom_site_label
_atom_site_fract_x
_atom_site_fract_y
_atom_site_fract_z
Ni1 0.0000 0.0000 0.0000
Bi1 0.2500 0.2500 0.7500
Sb1 0.2500 0.2500 0.2500
# E above lowest polymorph, kcal/mol of atoms: 0.000

5.
# Y2Ni2BiSb, relaxed, DFT PBE
data_Y2Ni2BiSb
_cell_length_a 11.1104
_cell_length_b 4.5349
_cell_length_c 11.1138
_cell_angle_alpha 90.00
_cell_angle_beta 109.48
_cell_angle_gamma 90.00
_space_group_name_H-M_alt 'P 1 m 1'
_space_group_IT_number 6
loop_
_space_group_symop_operation_xyz
'x,y,z'
'x,-y,z'
loop_
_atom_site_label
_atom_site_fract_x
_atom_site_fract_y
_atom_site_fract_z
Y1 0.0000 0.0000 0.0000
Y2 0.1228 0.5000 0.3749
Y3 0.2465 0.0000 0.7473
Y4 0.3750 0.5000 0.1291
Y5 0.5006 0.0000 0.4996
Y6 0.6256 0.5000 0.8723
Y7 0.7489 0.0000 0.2531
Y8 0.8727 0.5000 0.6235
Ni1 0.1289 0.5000 0.1300
Ni2 0.2442 0.0000 0.4947
Ni3 0.3738 0.5000 0.8749
Ni4 0.4996 0.0000 0.2554
Ni5 0.6283 0.5000 0.6240
Ni6 0.7496 0.0000 0.9952
Ni7 0.8733 0.5000 0.3792
Ni8 0.9938 0.0000 0.7450
Bi1 0.1240 0.5000 0.8749
Bi2 0.3739 0.5000 0.6240
Bi3 0.4990 0.0000 0.9998
Bi4 0.8737 0.5000 0.1251
Sb1 0.2489 0.0000 0.2510
Sb2 0.6243 0.5000 0.3759
Sb3 0.7498 0.0000 0.7493
Sb4 0.9983 0.0000 0.4998
# VASP energy, eV/atom: -6.17

6.
# Zr3Ni4Bi2Sb2, relaxed, DFT PBE
data_Zr3Ni4Bi2Sb2
_cell_length_a 6.1564
_cell_length_b 6.1564
_cell_length_c 12.3455
_cell_angle_alpha 90.00
_cell_angle_beta 90.00
_cell_angle_gamma 90.00
_space_group_name_H-M_alt 'I -4 2 m'
_space_group_IT_number 121
_space_group_name_Hall 'I -4 2'
loop_
_atom_site_label
_atom_site_fract_x
_atom_site_fract_y
_atom_site_fract_z
Zr1 0.0000 0.0000 0.0000
Zr2 0.0000 0.5000 0.2500
Ni1 0.2379 0.2379 0.8672
Bi1 0.0000 0.5000 0.0000
Sb1 0.0000 0.0000 0.2629
# E above lowest polymorph, kcal/mol of atoms: 0.000

7.
# ScNiBi2, relaxed, DFT PBE
data_ScNiBi2
_cell_length_a 7.2432
_cell_length_b 7.2432
_cell_length_c 7.2432
_cell_angle_alpha 90.00
_cell_angle_beta 90.00
_cell_angle_gamma 90.00
_space_group_name_H-M_alt 'F -4 3 m'
_space_group_IT_number 216
_space_group_name_Hall 'F -4 2 3'
loop_
_atom_site_label
_atom_site_fract_x
_atom_site_fract_y
_atom_site_fract_z
Sc1 0.0000 0.0000 0.0000
Ni1 0.2500 0.2500 0.2500
Bi1 0.0000 0.0000 0.5000
Bi2 0.2500 0.2500 0.7500
# VASP energy, eV/atom: -4.87

8.
# ScNiBi, relaxed, DFT PBE
data_ScNiBi
_cell_length_a 6.8759
_cell_length_b 6.8759
_cell_length_c 4.2742
_cell_angle_alpha 90.00
_cell_angle_beta 90.00
_cell_angle_gamma 120.00
_space_group_name_H-M_alt 'P -6 2 m'
_space_group_IT_number 189
_space_group_name_Hall 'P -6 -2'
loop_
_atom_site_label
_atom_site_fract_x
_atom_site_fract_y
_atom_site_fract_z
Sc1 0.0000 0.5637 0.0000
Ni1 0.0000 0.2436 0.5000
Bi1 0.0000 0.0000 0.0000
Bi2 0.3333 0.6667 0.5000
# VASP energy, eV/atom: -5.72

9.
# ScNiBi, relaxed, DFT PBE
data_ScNiBi
_cell_length_a 7.7998
_cell_length_b 7.7998
_cell_length_c 3.5283
_cell_angle_alpha 90.00
_cell_angle_beta 90.00
_cell_angle_gamma 120.00
_space_group_name_H-M_alt 'P -6 2 m'
_space_group_IT_number 189
_space_group_name_Hall 'P -6 -2'
loop_
_atom_site_label
_atom_site_fract_x
_atom_site_fract_y
_atom_site_fract_z
Sc1 0.0000 0.2876 0.0000
Ni1 0.0000 0.6468 0.5000
Bi1 0.0000 0.0000 0.5000
Bi2 0.3333 0.6667 0.0000
# VASP energy, eV/atom: -5.36

10.
# ScNiBi, relaxed, DFT PBE
data_ScNiBi
_cell_length_a 4.9193
_cell_length_b 4.9193
_cell_length_c 5.7567
_cell_angle_alpha 90.00
_cell_angle_beta 90.00
_cell_angle_gamma 120.00
_space_group_name_H-M_alt 'P 63/m m c'
_space_group_IT_number 194
_space_group_name_Hall '-P 6c 2c'
loop_
_atom_site_label
_atom_site_fract_x
_atom_site_fract_y
_atom_site_fract_z
Sc1 0.3333 0.6667 0.2500
Ni1 0.0000 0.0000 0.0000
Bi1 0.3333 0.6667 0.7500
# VASP energy, eV/atom: -5.39

11.
# Sc2NiBi, relaxed, DFT PBE
data_Sc2NiBi
_cell_length_a 6.9147
_cell_length_b 6.9147
_cell_length_c 6.9147
_cell_angle_alpha 90.00
_cell_angle_beta 90.00
_cell_angle_gamma 90.00
_space_group_name_H-M_alt 'F -4 3 m'
_space_group_IT_number 216
_space_group_name_Hall 'F -4 2 3'
loop_
_atom_site_label
_atom_site_fract_x
_atom_site_fract_y
_atom_site_fract_z
Sc1 0.0000 0.0000 0.0000
Sc2 0.2500 0.2500 0.2500
Ni1 0.2500 0.2500 0.7500
Bi1 0.0000 0.0000 0.5000
# VASP energy, eV/atom: -5.55

12.
# ScNiBi, relaxed, DFT PBE
data_ScNiBi
_cell_length_a 4.5061
_cell_length_b 4.5061
_cell_length_c 6.6261
_cell_angle_alpha 90.00
_cell_angle_beta 90.00
_cell_angle_gamma 120.00
_space_group_name_H-M_alt 'P 63/m m c'
_space_group_IT_number 194
_space_group_name_Hall '-P 6c 2c'
loop_
_atom_site_label
_atom_site_fract_x
_atom_site_fract_y
_atom_site_fract_z
Sc1 0.0000 0.0000 0.0000
Ni1 0.3333 0.6667 0.2500
Bi1 0.3333 0.6667 0.7500
# VASP energy, eV/atom: -5.71